(1)
A plane-wave DFT calculation with PBE-GGA was carried out for a relaxed structure of Ac2NdPt2.

Values from the calculation:
Symmetry = Ibam
Electronic total energy = -5.90 eV/atom
ΔH_f (0 K) = -883 meV/atom
Theoretical density = 10.301 g/cm3
Density of states at the Fermi level = 1.077 states/eV/atom

Cell lengths 7.828, 7.828, 7.828 Å; angles 114.70, 86.53, 129.99 degrees
Positions (direct):
Ac 0.153 0.137 0.291
Ac 0.347 0.637 0.984
Ac 0.653 0.363 0.016
Ac 0.847 0.863 0.709
Nd 0.250 0.750 0.500
Nd 0.750 0.250 0.500
Pt 0.103 0.767 0.870
Pt 0.397 0.267 0.663
Pt 0.603 0.733 0.337
Pt 0.897 0.233 0.130

(2)
A plane-wave DFT calculation with PBE-GGA was carried out for a relaxed structure of AcNdPt.

Values from the calculation:
Symmetry = P2_1/m
Electronic total energy = -5.64 eV/atom
ΔH_f (0 K) = -664 meV/atom
Theoretical density = 10.041 g/cm3
Density of states at the Fermi level = 1.228 states/eV/atom

Cell lengths 5.241, 5.350, 7.163 Å; angles 90.00, 111.15, 90.00 degrees
Positions (direct):
Ac 0.110 0.250 0.220
Ac 0.890 0.750 0.780
Nd 0.374 0.250 0.744
Nd 0.626 0.750 0.256
Pt 0.235 0.750 0.475
Pt 0.765 0.250 0.525